10
Lattice="6.2106 0.0000 0.0000 0.0000 7.7270 0.0000 0.0000 0.0000 6.6543" Properties=species:S:1:pos:R:3 comment="GGA-PBE NdSm2TmSc, optimized geometry" formation_enthalpy_0k_kj_per_mol_fu=99 space_group="Pmma, No. 51" density_g_cm3=6.852 pbc="T T T"
Nd 1.5526 0.0000 1.2880
Nd 4.6579 0.0000 5.3663
Sm 1.5526 1.6062 4.7764
Sm 1.5526 6.1208 4.7764
Sm 4.6579 1.6062 1.8779
Sm 4.6579 6.1208 1.8779
Tm 1.5526 3.8635 0.6272
Tm 4.6579 3.8635 6.0271
Sc 0.0000 3.8635 3.3272
Sc 3.1053 3.8635 3.3272

***

5
Lattice="-2.9177 2.9177 3.5699 2.9177 -2.9177 3.5699 2.9177 2.9177 -3.5699" Properties=species:S:1:pos:R:3 comment="GGA-PBE Sr2Co2Cu, optimized geometry" formation_enthalpy_0k_kj_per_mol_fu=254 space_group="I4/mmm, No. 139" density_g_cm3=4.872 pbc="T T T"
Sr 2.9177 0.0000 1.7849
Sr 0.0000 2.9177 1.7849
Co 0.0000 0.0000 1.0964
Co 0.0000 0.0000 6.0434
Cu 0.0000 0.0000 3.5699

***

6
Lattice="6.0311 0.0000 0.0000 0.0000 3.2867 0.0000 0.0000 0.0000 8.2536" Properties=species:S:1:pos:R:3 comment="GGA-PBE ErPuSn, optimized geometry" formation_enthalpy_0k_kj_per_mol_fu=-59 space_group="Pmma, No. 51" polymorph_energy_mev_per_atom=265.3 density_g_cm3=10.758 pbc="T T T"
Er 0.0000 0.0000 0.0000
Er 3.0156 0.0000 0.0000
Pu 1.5078 0.0000 3.0966
Pu 4.5233 0.0000 5.1570
Sn 1.5078 1.6434 5.9071
Sn 4.5233 1.6434 2.3465

***

4
Lattice="1.7273 0.9973 8.9819 -1.7273 0.9973 8.9819 0.0000 -1.9945 8.9819" Properties=species:S:1:pos:R:3 comment="GGA-PBE TlCCl2, optimized geometry" space_group="R-3m, No. 166" formation_energy_uncorrected_ev_per_atom=1.067 polymorph_energy_mev_per_atom=222.0 density_g_cm3=5.139 pbc="T T T"
Tl 0.0000 0.0000 0.0000
C 0.0000 0.0000 13.4729
Cl 0.0000 0.0000 3.1997
Cl 0.0000 0.0000 23.7460

***

4
Lattice="1.6072 0.9279 8.2969 -1.6072 0.9279 8.2969 0.0000 -1.8558 8.2969" Properties=species:S:1:pos:R:3 comment="GGA-PBE Y2TcH, optimized geometry" space_group="R-3m, No. 166" polymorph_energy_mev_per_atom=357.6 density_g_cm3=6.192 pbc="T T T"
Y 0.0000 0.0000 2.6459
Y 0.0000 0.0000 22.2449
Tc 0.0000 0.0000 0.0000
H 0.0000 0.0000 12.4454

***

5
Lattice="5.2402 0.0000 0.0000 0.0000 5.2402 0.0000 0.0000 0.0000 5.2402" Properties=species:S:1:pos:R:3 comment="GGA-PBE Sb3MoBr, optimized geometry" space_group="Pm-3m, No. 221" formation_energy_uncorrected_ev_per_atom=0.232 polymorph_energy_mev_per_atom=0.0 density_g_cm3=6.245 pbc="T T T"
Sb 0.0000 0.0000 2.6201
Sb 0.0000 2.6201 0.0000
Sb 2.6201 0.0000 0.0000
Mo 0.0000 0.0000 0.0000
Br 2.6201 2.6201 2.6201

***

8
Lattice="7.4044 0.0000 0.0000 0.0000 4.2790 0.0000 -2.4662 0.0000 6.9821" Properties=species:S:1:pos:R:3 comment="GGA-PBE Pr2NdSmAs4, optimized geometry" formation_enthalpy_0k_kj_per_mol_fu=-1165 space_group="P2/m, No. 10" density_g_cm3=6.576 pbc="T T T"
Pr 0.0000 0.0000 0.0000
Pr -1.2331 2.1395 3.4910
Nd 2.4691 0.0000 3.4910
Sm 3.7022 2.1395 0.0000
As 1.2601 2.1395 1.7422
As 0.0259 0.0000 5.2572
As 4.9123 0.0000 1.7249
As 3.6780 2.1395 5.2399